LiPaS3 | PBE-GGA | relaxed

POSCAR file:
```
LiPaS3
1.0
-0.499 -2.575 4.517
5.165 -0.767 0.133
0.598 4.479 2.619
S Li Pa
3 1 1
Cartesian
0.299 2.240 1.310 S
-0.249 -1.287 2.259 S
2.582 -0.383 0.067 S
2.632 0.569 3.635 Li
0.000 0.000 0.000 Pa
```

Results
**Calculated volume**: 28.50 A^3/atom
**ΔE_f (raw)**: -1250 meV/atom